Entry 1:
# Rb2BiIrS, relaxed, DFT PBE
data_Rb2BiIrS
_cell_length_a 6.220
_cell_length_b 6.220
_cell_length_c 5.373
_cell_angle_alpha 90.00
_cell_angle_beta 90.00
_cell_angle_gamma 90.00
_symmetry_space_group_name_H-M 'P 4/m m m'
_symmetry_Int_Tables_number 123
_symmetry_space_group_name_Hall '-P 4 2'
loop_
_atom_site_label
_atom_site_type_symbol
_atom_site_fract_x
_atom_site_fract_y
_atom_site_fract_z
Rb1 Rb 0.000 0.500 0.000
Bi1 Bi 0.000 0.000 0.500
Ir1 Ir 0.500 0.500 0.500
S1 S 0.000 0.000 0.000
# N(E_F) = 5.35 states/eV/cell

---

Entry 2:
# RbBiSb2Ir, relaxed, DFT PBE
data_RbBiSb2Ir
_cell_length_a 5.251
_cell_length_b 5.251
_cell_length_c 5.840
_cell_angle_alpha 90.00
_cell_angle_beta 90.00
_cell_angle_gamma 90.00
_symmetry_space_group_name_H-M 'P 4/m m m'
_symmetry_Int_Tables_number 123
_symmetry_space_group_name_Hall '-P 4 2'
loop_
_atom_site_label
_atom_site_type_symbol
_atom_site_fract_x
_atom_site_fract_y
_atom_site_fract_z
Rb1 Rb 0.000 0.000 0.000
Bi1 Bi 0.500 0.500 0.000
Sb1 Sb 0.000 0.500 0.500
Ir1 Ir 0.500 0.500 0.500
# N(E_F) = 5.00 states/eV/cell

---

Entry 3:
# RbBiIrSe2, relaxed, DFT PBE
data_RbBiIrSe2
_cell_length_a 4.948
_cell_length_b 4.948
_cell_length_c 5.888
_cell_angle_alpha 90.00
_cell_angle_beta 90.00
_cell_angle_gamma 90.00
_symmetry_space_group_name_H-M 'P 4/m m m'
_symmetry_Int_Tables_number 123
_symmetry_space_group_name_Hall '-P 4 2'
loop_
_atom_site_label
_atom_site_type_symbol
_atom_site_fract_x
_atom_site_fract_y
_atom_site_fract_z
Rb1 Rb 0.000 0.000 0.000
Bi1 Bi 0.500 0.500 0.000
Ir1 Ir 0.000 0.000 0.500
Se1 Se 0.000 0.500 0.500
# N(E_F) = 5.19 states/eV/cell

---

Entry 4:
# RbSi2BiIr, relaxed, DFT PBE
data_RbSi2BiIr
_cell_length_a 4.698
_cell_length_b 4.698
_cell_length_c 6.209
_cell_angle_alpha 90.00
_cell_angle_beta 90.00
_cell_angle_gamma 90.00
_symmetry_space_group_name_H-M 'P 4/m m m'
_symmetry_Int_Tables_number 123
_symmetry_space_group_name_Hall '-P 4 2'
loop_
_atom_site_label
_atom_site_type_symbol
_atom_site_fract_x
_atom_site_fract_y
_atom_site_fract_z
Rb1 Rb 0.000 0.000 0.000
Si1 Si 0.000 0.500 0.500
Bi1 Bi 0.500 0.500 0.000
Ir1 Ir 0.500 0.500 0.500
# N(E_F) = 4.40 states/eV/cell

---

Entry 5:
# RbTaBi2Ir, relaxed, DFT PBE
data_RbTaBi2Ir
_cell_length_a 5.600
_cell_length_b 5.600
_cell_length_c 4.965
_cell_angle_alpha 90.00
_cell_angle_beta 90.00
_cell_angle_gamma 90.00
_symmetry_space_group_name_H-M 'P 4/m m m'
_symmetry_Int_Tables_number 123
_symmetry_space_group_name_Hall '-P 4 2'
loop_
_atom_site_label
_atom_site_type_symbol
_atom_site_fract_x
_atom_site_fract_y
_atom_site_fract_z
Rb1 Rb 0.000 0.000 0.000
Ta1 Ta 0.500 0.500 0.500
Bi1 Bi 0.000 0.500 0.500
Ir1 Ir 0.500 0.500 0.000
# N(E_F) = 5.10 states/eV/cell

---

Entry 6:
# RbYBiIr2, relaxed, DFT PBE
data_RbYBiIr2
_cell_length_a 5.134
_cell_length_b 5.134
_cell_length_c 5.730
_cell_angle_alpha 90.00
_cell_angle_beta 90.00
_cell_angle_gamma 90.00
_symmetry_space_group_name_H-M 'P 4/m m m'
_symmetry_Int_Tables_number 123
_symmetry_space_group_name_Hall '-P 4 2'
loop_
_atom_site_label
_atom_site_type_symbol
_atom_site_fract_x
_atom_site_fract_y
_atom_site_fract_z
Rb1 Rb 0.000 0.000 0.000
Y1 Y 0.500 0.500 0.000
Bi1 Bi 0.000 0.000 0.500
Ir1 Ir 0.000 0.500 0.500
# N(E_F) = 8.64 states/eV/cell

---

Entry 7:
# ReBiIr, relaxed, DFT PBE
data_ReBiIr
_cell_length_a 13.723
_cell_length_b 3.054
_cell_length_c 5.288
_cell_angle_alpha 90.00
_cell_angle_beta 90.00
_cell_angle_gamma 90.00
_symmetry_space_group_name_H-M 'A m m 2'
_symmetry_Int_Tables_number 38
loop_
_symmetry_equiv_pos_as_xyz
'x,y,z'
'-x,-y,z'
'-x,y,z'
'x,-y,z'
'x,y+1/2,z+1/2'
'-x,-y+1/2,z+1/2'
'-x,y+1/2,z+1/2'
'x,-y+1/2,z+1/2'
loop_
_atom_site_label
_atom_site_type_symbol
_atom_site_fract_x
_atom_site_fract_y
_atom_site_fract_z
Re1 Re 0.147 0.000 0.000
Bi1 Bi 0.329 0.000 0.334
Ir1 Ir 0.000 0.000 0.667
Ir2 Ir 0.500 0.000 0.668
# N(E_F) = 11.16 states/eV/cell

---

Entry 8:
# ReSiBiIr2, relaxed, DFT PBE
data_ReSiBiIr2
_cell_length_a 4.962
_cell_length_b 4.962
_cell_length_c 5.068
_cell_angle_alpha 90.00
_cell_angle_beta 90.00
_cell_angle_gamma 90.00
_symmetry_space_group_name_H-M 'P 4/m m m'
_symmetry_Int_Tables_number 123
_symmetry_space_group_name_Hall '-P 4 2'
loop_
_atom_site_label
_atom_site_type_symbol
_atom_site_fract_x
_atom_site_fract_y
_atom_site_fract_z
Re1 Re 0.000 0.000 0.000
Si1 Si 0.500 0.500 0.000
Bi1 Bi 0.500 0.500 0.500
Ir1 Ir 0.000 0.500 0.500
# N(E_F) = 6.76 states/eV/cell

---

Entry 9:
# Re2SiBiIr, relaxed, DFT PBE
data_Re2SiBiIr
_cell_length_a 4.762
_cell_length_b 4.762
_cell_length_c 5.396
_cell_angle_alpha 90.00
_cell_angle_beta 90.00
_cell_angle_gamma 90.00
_symmetry_space_group_name_H-M 'P 4/m m m'
_symmetry_Int_Tables_number 123
_symmetry_space_group_name_Hall '-P 4 2'
loop_
_atom_site_label
_atom_site_type_symbol
_atom_site_fract_x
_atom_site_fract_y
_atom_site_fract_z
Re1 Re 0.000 0.500 0.000
Si1 Si 0.000 0.000 0.500
Bi1 Bi 0.500 0.500 0.500
Ir1 Ir 0.500 0.500 0.000
# N(E_F) = 5.90 states/eV/cell

---

Entry 10:
# ReSi2BiIr, relaxed, DFT PBE
data_ReSi2BiIr
_cell_length_a 4.575
_cell_length_b 4.575
_cell_length_c 5.387
_cell_angle_alpha 90.00
_cell_angle_beta 90.00
_cell_angle_gamma 90.00
_symmetry_space_group_name_H-M 'P 4/m m m'
_symmetry_Int_Tables_number 123
_symmetry_space_group_name_Hall '-P 4 2'
loop_
_atom_site_label
_atom_site_type_symbol
_atom_site_fract_x
_atom_site_fract_y
_atom_site_fract_z
Re1 Re 0.000 0.000 0.000
Si1 Si 0.000 0.500 0.000
Bi1 Bi 0.000 0.000 0.500
Ir1 Ir 0.500 0.500 0.500
# N(E_F) = 5.74 states/eV/cell

---

Entry 11:
# ReTcBi2Ir, relaxed, DFT PBE
data_ReTcBi2Ir
_cell_length_a 5.139
_cell_length_b 5.139
_cell_length_c 4.681
_cell_angle_alpha 90.00
_cell_angle_beta 90.00
_cell_angle_gamma 90.00
_symmetry_space_group_name_H-M 'P 4/m m m'
_symmetry_Int_Tables_number 123
_symmetry_space_group_name_Hall '-P 4 2'
loop_
_atom_site_label
_atom_site_type_symbol
_atom_site_fract_x
_atom_site_fract_y
_atom_site_fract_z
Re1 Re 0.000 0.000 0.000
Tc1 Tc 0.000 0.000 0.500
Bi1 Bi 0.000 0.500 0.500
Ir1 Ir 0.500 0.500 0.000
# N(E_F) = 5.72 states/eV/cell

---

Entry 12:
# Re2BiTeIr, relaxed, DFT PBE
data_Re2BiTeIr
_cell_length_a 4.805
_cell_length_b 4.805
_cell_length_c 5.296
_cell_angle_alpha 90.00
_cell_angle_beta 90.00
_cell_angle_gamma 90.00
_symmetry_space_group_name_H-M 'P 4/m m m'
_symmetry_Int_Tables_number 123
_symmetry_space_group_name_Hall '-P 4 2'
loop_
_atom_site_label
_atom_site_type_symbol
_atom_site_fract_x
_atom_site_fract_y
_atom_site_fract_z
Re1 Re 0.000 0.500 0.000
Bi1 Bi 0.000 0.000 0.500
Te1 Te 0.500 0.500 0.500
Ir1 Ir 0.500 0.500 0.000
# N(E_F) = 6.76 states/eV/cell

---

Entry 13:
# TlReBi2Ir, relaxed, DFT PBE
data_TlReBi2Ir
_cell_length_a 5.582
_cell_length_b 5.582
_cell_length_c 5.101
_cell_angle_alpha 90.00
_cell_angle_beta 90.00
_cell_angle_gamma 90.00
_symmetry_space_group_name_H-M 'P 4/m m m'
_symmetry_Int_Tables_number 123
_symmetry_space_group_name_Hall '-P 4 2'
loop_
_atom_site_label
_atom_site_type_symbol
_atom_site_fract_x
_atom_site_fract_y
_atom_site_fract_z
Tl1 Tl 0.000 0.000 0.000
Re1 Re 0.000 0.000 0.500
Bi1 Bi 0.000 0.500 0.000
Ir1 Ir 0.500 0.500 0.500
# N(E_F) = 6.37 states/eV/cell

---

Entry 14:
# Bi6IrRh, relaxed, DFT PBE
data_Bi6IrRh
_cell_length_a 6.149
_cell_length_b 6.498
_cell_length_c 6.874
_cell_angle_alpha 68.46
_cell_angle_beta 67.62
_cell_angle_gamma 66.52
_symmetry_space_group_name_H-M 'P -1'
_symmetry_Int_Tables_number 2
loop_
_symmetry_equiv_pos_as_xyz
'x,y,z'
'-x,-y,-z'
loop_
_atom_site_label
_atom_site_type_symbol
_atom_site_fract_x
_atom_site_fract_y
_atom_site_fract_z
Bi1 Bi 0.044 0.282 0.201
Bi2 Bi 0.278 0.070 0.694
Bi3 Bi 0.433 0.577 0.226
Ir1 Ir 0.000 0.500 0.500
Rh1 Rh 0.500 0.000 0.000
# N(E_F) = 3.93 states/eV/cell

---

Raw total energy values, unit eV/atom, following the record order: -3.11 -4.17 -3.71 -4.61 -5.33 -4.53 -7.62 -5.22 -6.58 -6.10 -6.16 -6.48 -3.83 -4.94.